The following is a PBE-GGA calculation of a relaxed Ba3Pd4Pt4 crystal, from Alexandria via LeMat-Bulk.

The value obtained for the magnetization is 0.0 μB/cell. The energy of formation from the pure elements comes out at -35 kJ per mole of atoms. As for the crystal system: cubic.

The space group is I-43m (No. 217) and the conventional cell measures 8.127, 8.127 and 8.127 Å, with angles of 90.00, 90.00 and 90.00 degrees. Symmetry generates all atoms from Ba at (0.000, 0.000, 0.500), Pd at (0.120, 0.120, 0.880) and Pt at (0.199, 0.199, 0.199).